A relaxed SrSm4Sb5 crystal, computed with PBE.

```
SrSm4Sb5
1.0
-2.2482 3.2009 11.3738
2.2482 -3.2009 11.3738
2.2482 3.2009 -11.3738
Sr Sm Sb
1 4 5
Cartesian
0.0000 0.0000 0.0000
0.0000 0.0000 4.5978
0.0000 0.0000 9.1144
0.0000 0.0000 13.6332
0.0000 0.0000 18.1498
2.2482 0.0000 2.4412
2.2482 0.0000 6.8519
0.0000 3.2009 0.0000
0.0000 3.2009 4.5219
0.0000 3.2009 8.9326
```

Computed properties:
- Formation energy without anion corrections: -1088 meV/atom
- Calculated density: 6.58 g cm⁻³
- SG: No. 71